The following is a PBE calculation of an optimized crystal structure of Cs2TiNiI6, from the Alexandria database.

Geometry as CIF:
```
data_Cs2TiNiI6
_cell_length_a 8.094
_cell_length_b 8.094
_cell_length_c 8.094
_cell_angle_alpha 119.92
_cell_angle_beta 119.92
_cell_angle_gamma 90.14
_symmetry_space_group_name_H-M 'P 1'
_symmetry_Int_Tables_number 1
_symmetry_space_group_name_Hall 'P 1'
loop_
_atom_site_label
_atom_site_type_symbol
_atom_site_fract_x
_atom_site_fract_y
_atom_site_fract_z
Cs1 Cs 0.250 0.750 0.500
Cs2 Cs 0.750 0.250 0.500
Ti1 Ti 0.000 0.000 0.000
Ni1 Ni 0.500 0.500 0.000
I1 I 0.250 0.250 0.500
I2 I 0.250 0.750 0.000
I3 I 0.251 0.251 0.000
I4 I 0.749 0.749 0.000
I5 I 0.750 0.250 0.000
I6 I 0.750 0.750 0.500
```

Output
Uncorrected energy, eV per atom: -3.26
Total magnetic moment, μB per cell: 1.9
E_form (uncorrected), eV per atom: -0.79
Crystal system: tetragonal